Here is a geometry-optimized Ca2TbTm structure from the Alexandria database. Energies are from PBE-GGA.

a = 5.0441 Å, b = 5.0441 Å, c = 5.5251 Å
α = 90.00°, β = 90.00°, γ = 90.00°
With the nearest neighbours (Å) after each atom.
Atoms (fractional coordinates):
1 Ca 0.0000 0.5000 0.0000  4 Ca 3.57, 4 Tb 3.74, 4 Tm 3.74
2 Ca 0.5000 0.0000 0.0000  4 Ca 3.57, 4 Tb 3.74, 4 Tm 3.74
3 Tb 0.0000 0.0000 0.5000  4 Tm 3.57, 8 Ca 3.74
4 Tm 0.5000 0.5000 0.5000  4 Tb 3.57, 8 Ca 3.74

Output
As for the crystal system: tetragonal. For the formation energy, the calculation gives 0.19 eV per atom. The distance to the lowest polymorph of the same formula is 0 kJ/mol of formula units.